1.
16
Lattice="-3.388 5.912 6.571 3.388 -5.912 6.571 3.388 5.912 -6.571" Properties=species:S:1:pos:R:3 comment="La2SmDy4Sc | Alexandria via LeMat-Bulk | PBE-GGA | relaxed" crystal_system=orthorhombic pbc="T T T"
La 0.000 0.000 0.000
La -1.694 2.956 3.286
La 0.000 5.912 0.000
La 1.694 2.956 3.286
Sm 3.388 0.000 0.000
Sm 0.000 0.000 6.571
Dy 3.388 -0.216 3.283
Dy 3.388 5.695 -3.283
Dy 1.703 2.956 -0.200
Dy 5.073 2.956 -0.200
Dy -1.685 2.956 6.772
Dy 1.685 2.956 6.772
Dy 0.000 0.216 9.854
Dy 0.000 6.128 3.289
Sc 1.694 2.956 -3.286
Sc 1.694 -2.956 3.286



2.
18
Lattice="2.831 -9.988 0.000 2.831 9.988 0.000 0.000 0.000 10.492" Properties=species:S:1:pos:R:3 comment="LaSm5Dy2Sc | Alexandria via LeMat-Bulk | PBE-GGA | relaxed" crystal_system=orthorhombic pbc="T T T"
La 2.831 8.270 5.246
La 2.831 -8.270 0.000
Sm 2.831 9.664 8.238
Sm 2.831 7.492 0.663
Sm 2.831 5.933 7.865
Sm 2.831 5.541 3.836
Sm 2.831 0.366 0.666
Sm 2.831 -0.366 5.912
Sm 2.831 -5.541 9.082
Sm 2.831 -5.933 2.619
Sm 2.831 -7.492 5.908
Sm 2.831 -9.664 2.992
Dy 2.831 2.296 8.165
Dy 2.831 2.246 3.751
Dy 2.831 -2.246 8.997
Dy 2.831 -2.296 2.919
Sc 2.831 3.919 0.601
Sc 2.831 -3.919 5.847



3.
18
Lattice="-4.238 4.238 8.797 4.238 -4.238 8.797 4.238 4.238 -8.797" Properties=species:S:1:pos:R:3 comment="La5Sm2DySc | Alexandria via LeMat-Bulk | PBE-GGA | relaxed" crystal_system=tetragonal pbc="T T T"
La 0.000 0.000 0.000
La 6.093 1.855 -2.542
La 1.855 2.383 -2.542
La 6.093 1.855 2.542
La 1.855 2.383 2.542
La 0.000 0.000 8.797
La 2.383 1.855 6.255
La -1.855 2.383 6.255
La 2.383 1.855 11.339
La -1.855 2.383 11.339
Sm 3.168 1.070 0.000
Sm 3.168 -1.070 8.797
Sm 1.070 5.308 0.000
Sm 1.070 3.168 8.797
Dy 0.000 0.000 4.399
Dy 0.000 0.000 13.196
Sc 4.238 0.000 4.399
Sc 0.000 4.238 4.399



4.
12
Lattice="2.505 -7.596 0.000 2.505 7.596 0.000 0.000 0.000 10.173" Properties=species:S:1:pos:R:3 comment="LaSm3DySc | Alexandria via LeMat-Bulk | PBE-GGA | relaxed" crystal_system=orthorhombic pbc="T T T"
La 2.505 7.529 7.630
La 2.505 -7.529 2.543
Sm 2.505 5.053 5.094
Sm 2.505 5.053 10.165
Sm 2.505 2.590 7.630
Sm 2.505 -2.590 2.543
Sm 2.505 -5.053 0.008
Sm 2.505 -5.053 5.079
Dy 2.505 0.000 0.000
Dy 2.505 0.000 5.087
Sc 2.505 2.569 2.543
Sc 2.505 -2.569 7.630



5.
8
Lattice="5.879 0.000 0.000 0.000 5.879 0.000 0.000 0.000 7.392" Properties=species:S:1:pos:R:3 comment="LaSm2Dy4Sc | Alexandria via LeMat-Bulk | PBE-GGA | relaxed" crystal_system=tetragonal pbc="T T T"
La 0.000 0.000 0.000
Sm 0.000 0.000 3.696
Sm 2.940 2.940 3.696
Dy 0.000 2.940 1.824
Dy 0.000 2.940 5.567
Dy 2.940 0.000 1.824
Dy 2.940 0.000 5.567
Sc 2.940 2.940 0.000



6.
18
Lattice="2.729 -11.031 0.000 2.729 11.031 0.000 0.000 0.000 10.128" Properties=species:S:1:pos:R:3 comment="La2Sm5DySc | Alexandria via LeMat-Bulk | PBE-GGA | relaxed" crystal_system=orthorhombic pbc="T T T"
La 2.729 8.450 5.064
La 2.729 8.457 9.990
La 2.729 -8.450 0.000
La 2.729 -8.457 4.926
Sm 2.729 11.027 2.462
Sm 2.729 -11.027 7.526
Sm 2.729 4.931 9.412
Sm 2.729 4.923 5.632
Sm 2.729 2.810 2.461
Sm 2.729 -0.001 4.994
Sm 2.729 0.001 10.058
Sm 2.729 -2.810 7.525
Sm 2.729 -4.923 0.568
Sm 2.729 -4.931 4.348
Dy 2.729 2.267 7.527
Dy 2.729 -2.267 2.463
Sc 2.729 6.306 2.459
Sc 2.729 -6.306 7.523



7.
8
Lattice="5.905 0.000 0.000 0.000 5.896 0.000 -0.003 0.000 7.767" Properties=species:S:1:pos:R:3 comment="La4SmDy2Sc | Alexandria via LeMat-Bulk | PBE-GGA | relaxed" crystal_system=monoclinic pbc="T T T"
La 0.000 0.000 1.836
La 5.903 0.000 5.932
La 2.943 2.948 5.926
La 2.960 2.948 1.842
Sm 2.951 0.000 3.884
Dy -0.001 2.948 3.884
Dy 2.953 0.000 0.000
Sc 0.000 2.948 0.000



8.
18
Lattice="2.807 -9.928 0.000 2.807 9.928 0.000 0.000 0.000 10.521" Properties=species:S:1:pos:R:3 comment="La2SmDy5Sc | Alexandria via LeMat-Bulk | PBE-GGA | relaxed" crystal_system=orthorhombic pbc="T T T"
La 2.807 7.657 5.260
La 2.807 7.631 9.680
La 2.807 -7.631 4.419
La 2.807 -7.657 0.000
Sm 2.807 1.771 6.819
Sm 2.807 -1.771 1.559
Dy 2.807 9.618 2.154
Dy 2.807 4.434 5.332
Dy 2.807 4.054 9.349
Dy 2.807 2.481 2.153
Dy 2.807 0.328 9.754
Dy 2.807 -0.328 4.493
Dy 2.807 -2.481 7.414
Dy 2.807 -4.054 4.088
Dy 2.807 -4.434 0.071
Dy 2.807 -9.618 7.414
Sc 2.807 5.998 2.098
Sc 2.807 -5.998 7.359



9.
4
Lattice="0.000 3.992 3.992 3.992 0.000 3.992 3.992 3.992 0.000" Properties=species:S:1:pos:R:3 comment="LaSmDySc | Alexandria via LeMat-Bulk | PBE-GGA | relaxed" crystal_system=cubic e_above_lowest_polymorph_ev_per_fu=0.04 pbc="T T T"
La 0.000 0.000 0.000
Sm 3.992 3.992 3.992
Dy 5.987 5.987 5.987
Sc 1.996 1.996 1.996



10.
10
Lattice="5.816 -3.534 0.000 5.816 3.534 0.000 -2.266 0.000 8.535" Properties=species:S:1:pos:R:3 comment="La6Sm2DySc | Alexandria via LeMat-Bulk | PBE-GGA | relaxed" crystal_system=monoclinic pbc="T T T"
La 3.417 1.735 1.743
La 0.556 0.000 3.396
La 5.949 1.735 6.792
La 3.417 -1.735 1.743
La 8.810 0.000 5.139
La 5.949 -1.735 6.792
Sm 2.825 0.000 7.103
Sm 6.541 0.000 1.432
Dy 4.683 0.000 4.267
Sc 0.000 0.000 0.000



11.
4
Lattice="6.130 -2.867 0.000 6.130 2.867 0.000 -1.188 0.000 3.632" Properties=species:S:1:pos:R:3 comment="LaSmDySc | Alexandria via LeMat-Bulk | PBE-GGA | relaxed" crystal_system=monoclinic e_above_lowest_polymorph_ev_per_fu=0.00 pbc="T T T"
La 0.000 0.000 0.000
Sm 8.666 0.000 0.790
Dy 2.376 0.000 2.751
Sc 5.494 0.000 1.776



12.
18
Lattice="2.798 -9.842 0.000 2.798 9.842 0.000 0.000 0.000 10.392" Properties=species:S:1:pos:R:3 comment="LaTb2Dy5Sc | Alexandria via LeMat-Bulk | PBE-GGA | relaxed" crystal_system=orthorhombic pbc="T T T"
La 2.798 8.175 5.196
La 2.798 -8.175 0.000
Tb 2.798 2.238 8.097
Tb 2.798 2.201 3.748
Tb 2.798 -2.201 8.944
Tb 2.798 -2.238 2.901
Dy 2.798 9.487 8.155
Dy 2.798 7.390 0.682
Dy 2.798 5.834 7.811
Dy 2.798 5.458 3.827
Dy 2.798 0.362 0.698
Dy 2.798 -0.362 5.894
Dy 2.798 -5.458 9.023
Dy 2.798 -5.834 2.615
Dy 2.798 -7.390 5.878
Dy 2.798 -9.487 2.958
Sc 2.798 3.879 0.616
Sc 2.798 -3.879 5.812



13.
8
Lattice="4.985 0.000 0.000 0.000 4.985 0.000 0.000 0.000 9.181" Properties=species:S:1:pos:R:3 comment="LaTb2DySc4 | Alexandria via LeMat-Bulk | PBE-GGA | relaxed" crystal_system=tetragonal pbc="T T T"
La 0.000 0.000 0.000
Tb 0.000 0.000 4.590
Tb 2.493 2.493 0.000
Dy 2.493 2.493 4.590
Sc 0.000 2.493 2.326
Sc 0.000 2.493 6.854
Sc 2.493 0.000 2.326
Sc 2.493 0.000 6.854



14.
12
Lattice="3.079 -5.334 0.000 3.079 5.334 0.000 -2.052 0.000 11.625" Properties=species:S:1:pos:R:3 comment="La2Tb3Dy6Sc | Alexandria via LeMat-Bulk | PBE-GGA | relaxed" crystal_system=monoclinic pbc="T T T"
La 3.079 3.562 0.000
La 3.079 -3.562 0.000
Tb -1.026 0.000 5.812
Tb 2.053 1.774 5.812
Tb 2.053 -1.774 5.812
Dy 0.014 1.758 8.698
Dy 1.045 0.000 2.933
Dy 0.014 -1.758 8.698
Dy 4.092 1.758 2.926
Dy 3.061 0.000 8.692
Dy 4.092 -1.758 2.926
Sc 3.079 0.000 0.000



15.
12
Lattice="2.496 -7.505 0.000 2.496 7.505 0.000 0.000 0.000 10.071" Properties=species:S:1:pos:R:3 comment="LaTb3DySc | Alexandria via LeMat-Bulk | PBE-GGA | relaxed" crystal_system=orthorhombic pbc="T T T"
La 2.496 7.461 7.553
La 2.496 -7.461 2.518
Tb 2.496 4.979 0.005
Tb 2.496 4.979 5.030
Tb 2.496 2.569 7.553
Tb 2.496 -2.569 2.518
Tb 2.496 -4.979 5.041
Tb 2.496 -4.979 10.066
Dy 2.496 0.000 0.000
Dy 2.496 0.000 5.036
Sc 2.496 2.546 2.518
Sc 2.496 -2.546 7.553



16.
12
Lattice="3.100 -5.372 0.000 3.100 5.372 0.000 -2.071 0.000 11.684" Properties=species:S:1:pos:R:3 comment="La3Tb6Dy2Sc | Alexandria via LeMat-Bulk | PBE-GGA | relaxed" crystal_system=monoclinic pbc="T T T"
La 0.000 0.000 0.000
La 3.100 1.787 0.000
La 3.100 -1.787 0.000
Tb 1.045 1.775 3.019
Tb 0.010 0.000 8.666
Tb 1.045 -1.775 3.019
Tb 3.083 1.775 8.665
Tb 4.118 0.000 3.018
Tb 3.083 -1.775 8.665
Dy 2.064 3.584 5.842
Dy 2.064 -3.584 5.842
Sc 2.064 0.000 5.842



17.
16
Lattice="6.150 -3.565 0.000 6.150 3.565 0.000 -4.076 0.000 11.646" Properties=species:S:1:pos:R:3 comment="La2TbDy4Sc | Alexandria via LeMat-Bulk | PBE-GGA | relaxed" crystal_system=monoclinic pbc="T T T"
La 0.000 0.000 0.000
La -2.038 0.000 5.823
La 3.075 1.783 0.000
La 3.075 -1.783 0.000
Tb 6.150 0.000 0.000
Tb 4.112 0.000 5.823
Dy 3.083 1.778 8.684
Dy 0.038 0.000 8.647
Dy 2.044 0.000 3.016
Dy 5.141 1.778 2.962
Dy 3.083 -1.778 8.684
Dy 6.180 0.000 8.630
Dy 8.187 0.000 2.999
Dy 5.141 -1.778 2.962
Sc 1.037 1.783 5.823
Sc 1.037 -1.783 5.823



18.
8
Lattice="5.866 0.000 0.000 0.000 5.879 0.000 -0.001 0.000 7.794" Properties=species:S:1:pos:R:3 comment="La4TbDy2Sc | Alexandria via LeMat-Bulk | PBE-GGA | relaxed" crystal_system=monoclinic pbc="T T T"
La 5.864 0.000 1.860
La 0.001 0.000 5.934
La 2.924 2.939 1.870
La 2.940 2.939 5.924
Tb 2.932 0.000 3.897
Dy -0.001 2.939 3.897
Dy 2.933 0.000 0.000
Sc 0.000 2.939 0.000



19.
10
Lattice="5.739 -3.560 0.000 5.739 3.560 0.000 -2.559 0.000 8.504" Properties=species:S:1:pos:R:3 comment="La6TbDy2Sc | Alexandria via LeMat-Bulk | PBE-GGA | relaxed" crystal_system=monoclinic pbc="T T T"
La 3.187 1.599 1.755
La 0.444 0.000 3.634
La 5.732 1.599 6.749
La 3.187 -1.599 1.755
La 8.475 0.000 4.870
La 5.732 -1.599 6.749
Tb 0.000 0.000 0.000
Dy 2.621 0.000 6.985
Dy 6.298 0.000 1.519
Sc 4.460 0.000 4.252



20.
12
Lattice="3.050 -5.281 0.000 3.050 5.281 0.000 -2.024 0.000 11.514" Properties=species:S:1:pos:R:3 comment="LaTb6Dy3Sc2 | Alexandria via LeMat-Bulk | PBE-GGA | relaxed" crystal_system=monoclinic pbc="T T T"
La 0.000 0.000 0.000
Tb 1.034 1.779 2.855
Tb 0.027 0.000 8.657
Tb 1.034 -1.779 2.855
Tb 3.043 1.779 8.659
Tb 4.050 0.000 2.857
Tb 3.043 -1.779 8.659
Dy 2.038 3.513 5.757
Dy 2.038 0.000 5.757
Dy 2.038 -3.513 5.757
Sc 3.050 1.760 0.000
Sc 3.050 -1.760 0.000



Number 1: energy of formation from the pure elements 3.2 eV/f.u., spin magnetization 0.000 μB/atom. Number 2: energy of formation from the pure elements 1.5 eV/f.u., spin magnetization 0.000 μB/atom. Number 3: energy of formation from the pure elements 2.6 eV/f.u., spin magnetization 0.000 μB/atom. Number 4: energy of formation from the pure elements 0.3 eV/f.u., spin magnetization 0.000 μB/atom. Number 5: energy of formation from the pure elements 1.1 eV/f.u., spin magnetization 0.000 μB/atom. Number 6: energy of formation from the pure elements 1.1 eV/f.u., spin magnetization 0.000 μB/atom. Number 7: energy of formation from the pure elements 0.5 eV/f.u., spin magnetization 0.000 μB/atom. Number 8: energy of formation from the pure elements 1.4 eV/f.u., spin magnetization 0.000 μB/atom. Number 9: energy of formation from the pure elements 0.4 eV/f.u., spin magnetization 0.000 μB/atom. Number 10: energy of formation from the pure elements 2.1 eV/f.u., spin magnetization 0.000 μB/atom. Number 11: energy of formation from the pure elements 0.4 eV/f.u., spin magnetization 0.000 μB/atom. Number 12: energy of formation from the pure elements 1.6 eV/f.u., spin magnetization 0.000 μB/atom. Number 13: energy of formation from the pure elements 0.5 eV/f.u., spin magnetization 0.000 μB/atom. Number 14: energy of formation from the pure elements 0.3 eV/f.u., spin magnetization 0.000 μB/atom. Number 15: energy of formation from the pure elements 0.3 eV/f.u., spin magnetization 0.000 μB/atom. Number 16: energy of formation from the pure elements 0.4 eV/f.u., spin magnetization 0.000 μB/atom. Number 17: energy of formation from the pure elements 0.3 eV/f.u., spin magnetization 0.000 μB/atom. Number 18: energy of formation from the pure elements 0.5 eV/f.u., spin magnetization 0.000 μB/atom. Number 19: energy of formation from the pure elements 1.9 eV/f.u., spin magnetization 0.000 μB/atom. Number 20: energy of formation from the pure elements 0.5 eV/f.u., spin magnetization 0.000 μB/atom.